1.
This record from Alexandria describes an optimized crystal structure of Li2BiS2. The functional is GGA-PBE. Values from VASP.

The structure in Quantum ESPRESSO input format:
```
&SYSTEM
  ibrav = 0, nat = 10, ntyp = 3
/
ATOMIC_SPECIES
Li 6.94 Li.upf
Bi 208.98 Bi.upf
S 32.06 S.upf
ATOMIC_POSITIONS angstrom
Li 1.007 2.730 0.000
Li 2.730 6.467 0.000
Li 4.744 1.007 0.000
Li 6.467 4.744 0.000
Bi 0.000 0.000 1.775
Bi 3.737 3.737 1.775
S 1.274 5.011 1.775
S 2.463 1.274 1.775
S 5.011 6.201 1.775
S 6.201 2.463 1.775
CELL_PARAMETERS angstrom
7.474 0.000 0.000
0.000 7.474 0.000
0.000 0.000 3.550
```

## Properties
Spin magnetization ... 0.00 μB/f.u.
Symmetry ... No. 127
DOS(E_F) ... 0.39 states/eV/f.u.
ΔE_f (raw) ... -729 meV/atom
Energy above the lowest structure with this stoichiometry ... 0.51 eV/f.u.

***

2.
This record from Alexandria describes an optimized crystal structure of Li3BiS4. The functional is GGA-PBE. Values from VASP.

The structure in Quantum ESPRESSO input format:
```
&SYSTEM
  ibrav = 0, nat = 8, ntyp = 3
/
ATOMIC_SPECIES
Li 6.94 Li.upf
Bi 208.98 Bi.upf
S 32.06 S.upf
ATOMIC_POSITIONS angstrom
Li 0.000 0.000 0.000
Li 1.824 2.651 1.929
Li 1.824 -2.651 1.929
Bi 3.649 0.000 0.000
S 1.699 0.000 1.929
S 3.649 2.646 0.000
S 3.649 -2.646 0.000
S 5.598 0.000 1.929
CELL_PARAMETERS angstrom
3.649 -5.303 0.000
3.649 5.303 0.000
0.000 0.000 3.858
```

## Properties
Spin magnetization ... 0.00 μB/f.u.
Symmetry ... No. 65
DOS(E_F) ... 5.60 states/eV/f.u.
ΔE_f (raw) ... -660 meV/atom

***

3.
This record from Alexandria describes an optimized crystal structure of Li3BiS. The functional is GGA-PBE. Values from VASP.

The structure in Quantum ESPRESSO input format:
```
&SYSTEM
  ibrav = 0, nat = 5, ntyp = 3
/
ATOMIC_SPECIES
Li 6.94 Li.upf
Bi 208.98 Bi.upf
S 32.06 S.upf
ATOMIC_POSITIONS angstrom
Li 0.000 0.000 2.334
Li 0.000 2.334 0.000
Li 2.334 0.000 0.000
Bi 2.334 2.334 2.334
S 0.000 0.000 0.000
CELL_PARAMETERS angstrom
4.667 0.000 0.000
0.000 4.667 0.000
0.000 0.000 4.667
```

## Properties
Spin magnetization ... 0.00 μB/f.u.
Symmetry ... No. 221
DOS(E_F) ... 2.72 states/eV/f.u.
ΔE_f (raw) ... -649 meV/atom
Energy above the lowest structure with this stoichiometry ... 0.00 eV/f.u.

***

4.
This record from Alexandria describes an optimized crystal structure of Li5BiS4. The functional is GGA-PBE. Values from VASP.

The structure in Quantum ESPRESSO input format:
```
&SYSTEM
  ibrav = 0, nat = 10, ntyp = 3
/
ATOMIC_SPECIES
Li 6.94 Li.upf
Bi 208.98 Bi.upf
S 32.06 S.upf
ATOMIC_POSITIONS angstrom
Li 0.000 0.000 0.000
Li 1.977 2.106 -2.415
Li 1.977 2.106 2.415
Li 0.000 1.513 4.350
Li 0.000 1.513 9.179
Bi 0.000 3.618 0.000
S 1.977 1.630 0.000
S 1.977 0.000 3.878
S 0.000 3.618 2.887
S 0.000 1.988 6.765
CELL_PARAMETERS angstrom
-1.977 3.618 6.765
1.977 -3.618 6.765
1.977 3.618 -6.765
```

## Properties
Spin magnetization ... 0.00 μB/f.u.
Symmetry ... No. 71
DOS(E_F) ... 0.00 states/eV/f.u.
ΔE_f (raw) ... -1054 meV/atom
Energy above the lowest structure with this stoichiometry ... 0.00 eV/f.u.

***

5.
This record from Alexandria describes an optimized crystal structure of Li5BiS4. The functional is GGA-PBE. Values from VASP.

The structure in Quantum ESPRESSO input format:
```
&SYSTEM
  ibrav = 0, nat = 80, ntyp = 3
/
ATOMIC_SPECIES
Li 6.94 Li.upf
Bi 208.98 Bi.upf
S 32.06 S.upf
ATOMIC_POSITIONS angstrom
Li 0.197 8.511 1.486
Li 0.197 16.430 1.486
Li 1.865 2.268 1.111
Li 1.865 6.046 1.111
Li 2.032 10.346 4.457
Li 2.032 14.595 4.457
Li 2.268 1.865 4.083
Li 2.268 6.449 4.083
Li 4.157 4.157 0.987
Li 4.157 4.157 3.958
Li 4.157 12.470 1.486
Li 4.157 12.470 4.457
Li 6.046 1.865 4.083
Li 6.046 6.449 4.083
Li 6.281 10.346 4.457
Li 6.281 14.595 4.457
Li 6.449 2.268 1.111
Li 6.449 6.046 1.111
Li 8.117 8.511 1.486
Li 8.117 16.430 1.486
Li 8.511 0.197 4.457
Li 8.511 8.117 4.457
Li 10.179 10.581 4.831
Li 10.179 14.360 4.831
Li 10.346 2.032 1.486
Li 10.346 6.281 1.486
Li 10.581 10.179 1.860
Li 10.581 14.762 1.860
Li 12.470 4.157 1.486
Li 12.470 4.157 4.457
Li 12.470 12.470 1.985
Li 12.470 12.470 4.956
Li 14.360 10.179 1.860
Li 14.360 14.762 1.860
Li 14.595 2.032 1.486
Li 14.595 6.281 1.486
Li 14.762 10.581 4.831
Li 14.762 14.360 4.831
Li 16.430 0.197 4.457
Li 16.430 8.117 4.457
Bi 0.293 12.470 1.700
Bi 4.157 8.607 1.272
Bi 4.157 16.334 1.272
Bi 8.020 12.470 1.700
Bi 8.607 4.157 4.243
Bi 12.470 0.293 4.671
Bi 12.470 8.020 4.671
Bi 16.334 4.157 4.243
S 0.148 1.911 2.789
S 0.148 6.403 2.789
S 1.911 0.148 5.760
S 1.911 8.165 5.760
S 2.196 4.157 5.431
S 2.195 12.470 5.803
S 4.157 2.196 2.460
S 4.157 6.117 2.460
S 4.157 10.509 3.111
S 4.157 14.432 3.111
S 6.117 4.157 5.431
S 6.119 12.470 5.803
S 6.403 0.148 5.760
S 6.403 8.165 5.760
S 8.165 1.911 2.789
S 8.165 6.403 2.789
S 8.462 10.224 3.154
S 8.462 14.716 3.154
S 10.224 8.462 0.183
S 10.224 16.479 0.183
S 10.509 4.157 0.140
S 10.510 12.470 0.512
S 12.470 2.195 2.832
S 12.470 6.119 2.832
S 12.470 10.510 3.483
S 12.470 14.431 3.483
S 14.432 4.157 0.140
S 14.431 12.470 0.512
S 14.716 8.462 0.183
S 14.716 16.479 0.183
S 16.479 10.224 3.154
S 16.479 14.716 3.154
CELL_PARAMETERS angstrom
16.627 0.000 0.000
0.000 16.627 0.000
0.000 0.000 5.943
```

## Properties
Spin magnetization ... 0.00 μB/f.u.
Symmetry ... No. 137
ΔE_f (raw) ... -1028 meV/atom
Energy above the lowest structure with this stoichiometry ... 0.26 eV/f.u.

***

6.
This record from Alexandria describes an optimized crystal structure of Li2BiS. The functional is GGA-PBE. Values from VASP.

The structure in Quantum ESPRESSO input format:
```
&SYSTEM
  ibrav = 0, nat = 8, ntyp = 3
/
ATOMIC_SPECIES
Li 6.94 Li.upf
Bi 208.98 Bi.upf
S 32.06 S.upf
ATOMIC_POSITIONS angstrom
Li 1.862 1.289 -0.736
Li 2.435 -1.862 3.678
Li 1.862 2.435 2.207
Li 1.289 5.586 0.736
Bi 3.724 0.000 1.471
Bi 0.000 0.000 2.943
S 0.000 0.000 0.000
S 0.000 3.724 1.471
CELL_PARAMETERS angstrom
-3.724 3.724 2.943
3.724 -3.724 2.943
3.724 3.724 -2.943
```

## Properties
Spin magnetization ... 0.00 μB/f.u.
Symmetry ... No. 122
DOS(E_F) ... 1.26 states/eV/f.u.
ΔE_f (raw) ... -593 meV/atom
Energy above the lowest structure with this stoichiometry ... 0.00 eV/f.u.

***

7.
This record from Alexandria describes an optimized crystal structure of Li5BiS4. The functional is GGA-PBE. Values from VASP.

The structure in Quantum ESPRESSO input format:
```
&SYSTEM
  ibrav = 0, nat = 10, ntyp = 3
/
ATOMIC_SPECIES
Li 6.94 Li.upf
Bi 208.98 Bi.upf
S 32.06 S.upf
ATOMIC_POSITIONS angstrom
Li 0.000 0.000 0.000
Li 0.403 0.000 2.884
Li 4.994 0.000 5.782
Li 10.169 0.000 2.137
Li 10.584 0.000 5.019
Bi 5.286 0.000 2.511
S 2.711 0.000 3.716
S 7.861 0.000 1.303
S 12.157 0.000 0.673
S 13.837 0.000 4.351
CELL_PARAMETERS angstrom
7.710 -1.980 0.000
7.710 1.980 0.000
-0.599 0.000 6.536
```

## Properties
Spin magnetization ... 0.00 μB/f.u.
Symmetry ... No. 8
DOS(E_F) ... 0.00 states/eV/f.u.
ΔE_f (raw) ... -1043 meV/atom
Energy above the lowest structure with this stoichiometry ... 0.11 eV/f.u.

***

8.
This record from Alexandria describes an optimized crystal structure of LiBiS3. The functional is GGA-PBE. Values from VASP.

The structure in Quantum ESPRESSO input format:
```
&SYSTEM
  ibrav = 0, nat = 20, ntyp = 3
/
ATOMIC_SPECIES
Li 6.94 Li.upf
Bi 208.98 Bi.upf
S 32.06 S.upf
ATOMIC_POSITIONS angstrom
Li 0.917 1.322 0.688
Li -1.687 2.113 5.358
Li 4.448 4.757 3.983
Li 1.843 5.549 8.653
Bi -2.309 4.859 7.797
Bi 0.296 5.447 3.126
Bi 2.465 1.424 6.215
Bi 5.069 2.012 1.544
S -4.170 0.120 7.923
S -1.565 3.315 3.252
S 1.684 3.915 0.729
S -0.920 6.391 5.400
S 1.827 0.865 3.046
S -0.777 2.571 7.717
S 3.538 4.300 1.624
S 0.933 6.006 6.295
S 3.681 0.479 3.941
S 1.076 2.956 8.612
S 4.326 3.556 6.089
S 6.931 6.750 1.418
CELL_PARAMETERS angstrom
7.970 0.000 0.000
0.000 6.871 0.000
-5.209 0.000 9.341
```

## Properties
Spin magnetization ... 0.00 μB/f.u.
Symmetry ... No. 14
DOS(E_F) ... 0.00 states/eV/f.u.
ΔE_f (raw) ... -467 meV/atom
Energy above the lowest structure with this stoichiometry ... 0.00 eV/f.u.